PaMoPdO6: optimized geometry, GGA+U.

Calculated values
final energy = -7.68 eV per atom
magnetization = 2.08 μB per cell
density = 7474 kg/m³

Cell lengths 5.3498, 5.3498, 9.4903 Å; angles 90.00, 90.00, 120.00 degrees
With the nearest neighbours (Å) after each atom.
Fractional coordinates of all 18 atoms:
O: 0.6907 0.9836 0.3810  1 Mo 1.97, 1 Pa 2.20
Pa: 0.6667 0.3333 0.7500  6 O 2.20
O: 0.3093 0.0164 0.6190  1 Mo 1.97, 1 Pa 2.20
O: 0.2929 0.3093 0.3810  1 Mo 1.97, 1 Pa 2.20
O: 0.2929 0.9836 0.1190  1 Mo 1.97, 1 Pa 2.20
Pd: 0.6667 0.3333 0.2500  6 O 2.30
O: 0.0164 0.3093 0.1190  1 Mo 1.97, 1 Pa 2.20
O: 0.7071 0.0164 0.8810  1 Mo 1.97, 1 Pa 2.20
O: 0.6907 0.7071 0.1190  1 Mo 1.97, 1 Pa 2.20
Pd: 0.3333 0.6667 0.7500  6 O 2.30
Mo: 0.0000 0.0000 0.0000  6 O 1.97
O: 0.0164 0.7071 0.3810  1 Mo 1.97, 1 Pa 2.20
O: 0.3093 0.2929 0.8810  1 Mo 1.97, 1 Pa 2.20
O: 0.9836 0.2929 0.6190  1 Mo 1.97, 1 Pa 2.20
O: 0.7071 0.6907 0.6190  1 Mo 1.97, 1 Pa 2.20
O: 0.9836 0.6907 0.8810  1 Mo 1.97, 1 Pa 2.20
Mo: 0.0000 0.0000 0.5000  6 O 1.97
Pa: 0.3333 0.6667 0.2500  6 O 2.20